# 1
PBE CsPaCdO4, optimized geometry; size of the total moment = 0.000 μB/cell; N(E_F) = 0.0 states/eV per cell; symmetry = Imma (74); calculated volume = 20.210 Å³ per atom
1.0
-3.527 3.584 5.595
3.527 -3.584 5.595
3.527 3.584 -5.595
Cs Pa Cd O
2 2 2 8
Direct
0.403 0.153 0.250
0.597 0.847 0.750
0.000 0.500 0.500
0.500 0.500 0.000
0.000 0.000 0.500
0.000 0.500 0.000
0.140 0.693 0.447
0.254 0.307 0.947
0.256 0.321 0.565
0.256 0.691 0.935
0.744 0.309 0.065
0.744 0.679 0.435
0.746 0.693 0.053
0.860 0.307 0.553

# 2
PBE Cs2CdPbO4, optimized geometry; size of the total moment = 0.000 μB/cell; symmetry = I-4 (82); calculated volume = 22.964 Å³ per atom
1.0
-3.281 3.281 4.265
3.281 -3.281 4.265
3.281 3.281 -4.265
Cs Cd Pb O
2 1 1 4
Direct
0.000 0.000 0.000
0.750 0.250 0.500
0.250 0.750 0.500
0.500 0.500 0.000
0.231 0.608 0.095
0.392 0.487 0.623
0.513 0.136 0.905
0.864 0.769 0.377

# 3
PBE Cs2PmCd2O4, optimized geometry; size of the total moment = 0.000 μB/cell; N(E_F) = 2.1 states/eV per cell; symmetry = C2/m (12); calculated volume = 22.658 Å³ per atom
1.0
7.882 -1.827 0.000
7.882 1.827 0.000
-1.675 0.000 7.079
Cs Pm Cd O
2 1 2 4
Direct
0.124 0.124 0.061
0.876 0.876 0.939
0.000 0.000 0.500
0.319 0.319 0.460
0.681 0.681 0.540
0.150 0.150 0.689
0.453 0.453 0.670
0.547 0.547 0.330
0.850 0.850 0.311

# 4
PBE CsPrCdO3, optimized geometry; size of the total moment = 0.000 μB/cell; N(E_F) = 0.0 states/eV per cell; symmetry = P2_1/m (11); calculated volume = 22.388 Å³ per atom
1.0
7.396 0.000 0.000
0.000 3.810 0.000
-3.291 0.000 9.535
Cs Pr Cd O
2 2 2 6
Direct
0.158 0.250 0.197
0.842 0.750 0.803
0.369 0.250 0.846
0.631 0.750 0.154
0.174 0.750 0.556
0.826 0.250 0.444
0.047 0.250 0.647
0.322 0.750 0.986
0.437 0.750 0.719
0.563 0.250 0.281
0.678 0.250 0.014
0.953 0.750 0.353

# 5
PBE Cs4Pr3CdO8, optimized geometry; size of the total moment = 1.266 μB/cell; N(E_F) = 19.2 states/eV per cell; symmetry = C2/m (12); calculated volume = 20.640 Å³ per atom
1.0
6.431 -3.708 0.000
6.431 3.708 0.000
-4.276 0.000 6.925
Cs Pr Cd O
4 3 1 8
Direct
0.000 0.000 0.000
0.000 0.500 0.000
0.500 0.000 0.000
0.500 0.500 0.000
0.000 0.000 0.500
0.000 0.500 0.500
0.500 0.000 0.500
0.500 0.500 0.500
0.221 0.727 0.676
0.223 0.223 0.671
0.271 0.271 0.323
0.273 0.779 0.324
0.727 0.221 0.676
0.729 0.729 0.677
0.777 0.777 0.329
0.779 0.273 0.324

# 6
PBE Cs2CdPtO4, optimized geometry; size of the total moment = 4.013 μB/cell; N(E_F) = 5.8 states/eV per cell; symmetry = Fddd (70); calculated volume = 31.098 Å³ per atom
1.0
0.000 7.181 10.859
3.190 0.000 10.859
3.190 7.181 0.000
Cs Cd Pt O
4 2 2 8
Direct
0.051 0.051 0.699
0.301 0.301 0.949
0.699 0.699 0.051
0.949 0.949 0.301
0.125 0.125 0.125
0.875 0.875 0.875
0.375 0.375 0.375
0.625 0.625 0.625
0.059 0.687 0.503
0.251 0.503 0.687
0.313 0.941 0.749
0.497 0.749 0.941
0.503 0.251 0.059
0.687 0.059 0.251
0.749 0.497 0.313
0.941 0.313 0.497

# 7
PBE Cs4Pu3CdO12, optimized geometry; size of the total moment = 6.000 μB/cell; N(E_F) = 4.6 states/eV per cell; symmetry = Im-3m (229); calculated volume = 17.097 Å³ per atom
1.0
-4.405 4.405 4.405
4.405 -4.405 4.405
4.405 4.405 -4.405
Cs Pu Cd O
4 3 1 12
Direct
0.000 0.000 0.500
0.000 0.500 0.000
0.500 0.000 0.000
0.500 0.500 0.500
0.000 0.500 0.500
0.500 0.000 0.500
0.500 0.500 0.000
0.000 0.000 0.000
0.000 0.279 0.279
0.000 0.721 0.721
0.250 0.500 0.750
0.250 0.750 0.500
0.279 0.000 0.279
0.279 0.279 0.000
0.500 0.250 0.750
0.500 0.750 0.250
0.721 0.000 0.721
0.721 0.721 0.000
0.750 0.250 0.500
0.750 0.500 0.250

# 8
PBE Cs3Pu2CdO9, optimized geometry; size of the total moment = 3.000 μB/cell; N(E_F) = 6.6 states/eV per cell; symmetry = P-3m1 (164); calculated volume = 17.193 Å³ per atom
1.0
6.231 0.000 0.000
-3.115 5.396 0.000
0.000 0.000 7.671
Cs Pu Cd O
3 2 1 9
Direct
0.000 0.000 0.000
0.333 0.667 0.656
0.667 0.333 0.344
0.333 0.667 0.160
0.667 0.333 0.840
0.000 0.000 0.500
0.000 0.500 0.000
0.182 0.365 0.309
0.182 0.818 0.309
0.365 0.182 0.691
0.500 0.000 0.000
0.500 0.500 0.000
0.635 0.818 0.309
0.818 0.182 0.691
0.818 0.635 0.691

Taking the records one at a time from the top gives formation energy (no corrections) values of -2.35, -1.14, -1.56, -1.96, -2.03, -0.86, -2.18, -2.03 eV/atom.